No. 1
NaEuSb: relaxed, GGA-PBE.

Results
raw total energy = -5.79 eV/atom
symmetry = I4mm
M_tot = 2.332 μB per atom
density = 5.292 Mg/m³

```
NaEuSb
1.0
-3.987 -1.179 -1.525
1.846 -1.324 -3.801
1.666 -3.099 4.468
Eu Sb Na
1 1 1
Direct
0.938 0.938 0.875
0.292 0.292 0.585
0.620 0.620 0.240
```

---

No. 2
Li2ScHgF: relaxed, GGA-PBE.

Results
raw total energy = -3.67 eV/atom
symmetry = P4/mmm
M_tot = 0.068 μB per atom
density = 5.826 Mg/m³

```
Li2ScHgF
1.0
-0.477 -3.860 -1.356
4.049 -0.250 -0.712
0.664 -1.608 4.342
Sc Li Hg F
1 2 1 1
Direct
0.000 0.000 0.500
0.000 0.500 0.000
0.500 0.000 0.000
0.500 0.500 0.500
0.000 0.000 0.000
```

---

No. 3
Nd2ZnSn3: relaxed, GGA-PBE.

Results
symmetry = Pmm2
M_tot = 0.000 μB per atom
formation energy = -0.50 eV per atom
density = 7.324 Mg/m³

```
Nd2ZnSn3
1.0
4.220 0.000 0.000
0.000 4.695 0.000
0.000 0.000 8.126
Nd Zn Sn
2 1 3
Direct
0.000 0.500 0.000
0.000 0.000 0.503
0.500 0.500 0.323
0.500 0.000 0.840
0.500 0.000 0.188
0.500 0.500 0.645
```